Compound: TaSiRu
Source: Alexandria via LeMat-Bulk
Functional: GGA-PBE
Structure: relaxed

As for the crystal system: orthorhombic. For the uncorrected formation energy, the calculation gives -0.647 eV/atom.

The structure belongs to space group Ima2 (No. 46); the cell edges are 7.2881, 11.2096 and 6.5160 Å and the angles 90.00°, 90.00° and 90.00°. The inequivalent atoms are Ta at (0.2500, 0.0016, 0.0000), Ta at (0.2500, 0.2190, 0.6379), Ta at (0.2500, 0.6960, 0.1244), Si at (0.0036, 0.6669, 0.4206), Si at (0.2500, 0.0289, 0.4149), Ru at (0.0000, 0.0000, 0.6675) and Ru at (0.0332, 0.6245, 0.7955).



Compound: DyPaAu
Source: Alexandria via LeMat-Bulk
Functional: GGA-PBE
Structure: relaxed

As for the crystal system: tetragonal. The formation energy comes out at -0.2093 eV/atom. Its energy above the most stable polymorph in this dataset is 20 meV per atom.

The structure belongs to space group I4mm (No. 107); the cell edges are 3.3514, 3.3514 and 13.3027 Å and the angles 90.00°, 90.00° and 90.00°. The inequivalent atoms are Dy at (0.0000, 0.0000, 0.0000), Pa at (0.0000, 0.0000, 0.6932) and Au at (0.0000, 0.0000, 0.3532).



Compound: Ga2IBr8
Source: Alexandria via LeMat-Bulk
Functional: GGA-PBE
Structure: relaxed

As for the crystal system: monoclinic. For the uncorrected formation energy, the calculation gives -0.541 eV/atom.

The structure belongs to space group C2/m (No. 12); the cell edges are 15.1886, 9.0717 and 7.5579 Å and the angles 90.00°, 110.83° and 90.00°. The inequivalent atoms are Ga at (0.2063, 0.0000, 0.2798), I at (0.0000, 0.0000, 0.5000), Br at (0.1281, 0.2134, 0.1333), Br at (0.1327, 0.5000, 0.6468) and Br at (0.1896, 0.0000, 0.6033).



Compound: HoAlGa2Cu2
Source: Alexandria via LeMat-Bulk
Functional: GGA-PBE
Structure: relaxed

As for the crystal system: trigonal. The formation energy comes out at -0.3858 eV/atom.

The structure belongs to space group P-3m1 (No. 164); the cell edges are 4.1671, 4.1671 and 6.7065 Å and the angles 90.00°, 90.00° and 120.00°. The inequivalent atoms are Ho at (0.0000, 0.0000, 0.0000), Al at (0.0000, 0.0000, 0.5000), Ga at (0.3333, 0.6667, 0.2615) and Cu at (0.3333, 0.6667, 0.6675).



Compound: Ba2SrPrO4
Source: Alexandria via LeMat-Bulk
Functional: GGA-PBE
Structure: relaxed

As for the crystal system: monoclinic. For the uncorrected formation energy, the calculation gives -2.602 eV/atom.

The structure belongs to space group P2/m (No. 10); the cell edges are 6.5068, 3.7577 and 6.6579 Å and the angles 90.00°, 109.00° and 90.00°. The inequivalent atoms are Ba at (0.0000, 0.0000, 0.0000), Ba at (0.5000, 0.5000, 0.0000), Sr at (0.0000, 0.5000, 0.5000), Pr at (0.5000, 0.0000, 0.5000), O at (0.2524, 0.0000, 0.7171) and O at (0.2732, 0.5000, 0.2887).



Compound: SmErNiRu
Source: Alexandria via LeMat-Bulk
Functional: GGA-PBE
Structure: relaxed

As for the crystal system: tetragonal. The formation energy comes out at -0.3621 eV/atom.

The structure belongs to space group P4mm (No. 99); the cell edges are 3.4098, 3.4098 and 6.8427 Å and the angles 90.00°, 90.00° and 90.00°. The inequivalent atoms are Sm at (0.0000, 0.0000, 0.0000), Er at (0.0000, 0.0000, 0.4973), Ni at (0.5000, 0.5000, 0.7347) and Ru at (0.5000, 0.5000, 0.2582).



Compound: YTaCo
Source: Alexandria via LeMat-Bulk
Functional: GGA-PBE
Structure: relaxed

As for the crystal system: cubic. The formation energy comes out at 0.3627 eV/atom. Its energy above the most stable polymorph in this dataset is 536 meV per atom.

The structure belongs to space group F-43m (No. 216); the cell edges are 6.2729, 6.2729 and 6.2729 Å and the angles 90.00°, 90.00° and 90.00°. The inequivalent atoms are Y at (0.0000, 0.0000, 0.0000), Ta at (0.0000, 0.0000, 0.5000) and Co at (0.2500, 0.2500, 0.7500).



Compound: NaTi2H
Source: Alexandria via LeMat-Bulk
Functional: GGA-PBE
Structure: relaxed

As for the crystal system: trigonal. Its energy above the most stable polymorph in this dataset is 0 meV per atom.

The structure belongs to space group R-3m (No. 166, hexagonal axes); the cell edges are 2.9269, 2.9269 and 25.5336 Å and the angles 90.00°, 90.00° and 120.00°. The inequivalent atoms are Na at (0.0000, 0.0000, 0.0000), Ti at (0.0000, 0.0000, 0.1192) and H at (0.0000, 0.0000, 0.5000).



Compound: NpHgTe
Source: Alexandria via LeMat-Bulk
Functional: GGA-PBE
Structure: relaxed

As for the crystal system: orthorhombic. Its energy above the most stable polymorph in this dataset is 81 meV per atom. For the uncorrected formation energy, the calculation gives -0.100 eV/atom.

The structure belongs to space group Immm (No. 71); the cell edges are 3.8796, 7.3630 and 12.8319 Å and the angles 90.00°, 90.00° and 90.00°. The inequivalent atoms are Np at (0.0000, 0.0000, 0.1242), Hg at (0.0000, 0.5000, 0.1754) and Te at (0.0000, 0.2459, 0.5000).



Compound: CsDy2NpO8
Source: Alexandria via LeMat-Bulk
Functional: GGA-PBE
Structure: relaxed

As for the crystal system: monoclinic. For the uncorrected formation energy, the calculation gives -2.602 eV/atom.

The structure belongs to space group P2/m (No. 10); the cell edges are 5.1283, 7.8758 and 5.1325 Å and the angles 90.00°, 90.01° and 90.00°. The inequivalent atoms are Cs at (0.0000, 0.0000, 0.0000), Dy at (0.5000, 0.2843, 0.5000), Np at (0.0000, 0.5000, 0.0000), O at (0.1882, 0.3198, 0.1897), O at (0.2983, 0.5000, 0.7027) and O at (0.3951, 0.0000, 0.6050).



Compound: K2RbSr
Source: Alexandria via LeMat-Bulk
Functional: GGA-PBE
Structure: relaxed

As for the crystal system: trigonal. The formation energy comes out at 0.1291 eV/atom. Its energy above the most stable polymorph in this dataset is 61 meV per atom.

The structure belongs to space group R-3m (No. 166, hexagonal axes); the cell edges are 4.4595, 4.4595 and 50.0100 Å and the angles 90.00°, 90.00° and 120.00°. The inequivalent atoms are K at (0.0000, 0.0000, 0.0839), Rb at (0.0000, 0.0000, 0.5000) and Sr at (0.0000, 0.0000, 0.0000).



Compound: KLiBe2
Source: Alexandria via LeMat-Bulk
Functional: GGA-PBE
Structure: relaxed

As for the crystal system: tetragonal. The formation energy comes out at 0.7412 eV/atom. Its energy above the most stable polymorph in this dataset is 565 meV per atom.

The structure belongs to space group I4_1/amd (No. 141, origin choice 2); the cell edges are 4.4713, 4.4713 and 18.6784 Å and the angles 90.00°, 90.00° and 90.00°. The inequivalent atoms are K at (0.0000, 0.2500, 0.3750), Li at (0.0000, 0.2500, 0.8750) and Be at (0.0000, 0.0000, 0.0000).



| no. | uncorrected energy (eV per atom) | spin magnetization (μB/cell) |
| --- | --- | --- |
| 1 | -9.50 | 0.0 |
| 2 | -6.00 | 0.5 |
| 3 | -2.45 | 0.9 |
| 4 | -4.15 | 0.0 |
| 5 | -6.37 | 0.0 |
| 6 | -6.45 | 0.0 |
| 7 | -8.11 | 0.0 |
| 8 | -4.93 | 4.9 |
| 9 | -5.56 | 19.9 |
| 10 | -7.82 | 0.0 |
| 11 | -1.08 | 0.0 |
| 12 | -1.87 | 0.0 |